No. 1
! PaTlTe3 | Alexandria | PBE-GGA | relaxed; values from VASP
! Calculated density   6.50 g cm⁻³
! Offset from the most stable computed form   0 meV per atom
&SYSTEM
  ibrav = 0, nat = 20, ntyp = 3
/
ATOMIC_SPECIES
Te 127.60 Te.upf
Pa 231.04 Pa.upf
Tl 204.38 Tl.upf
ATOMIC_POSITIONS crystal
Te 0.8417 0.7119 0.5793
Te 0.1408 0.9320 0.7879
Te 0.1108 0.6029 0.1029
Te 0.3592 0.2121 0.0680
Te 0.6583 0.4207 0.2881
Te 0.3892 0.8971 0.3971
Te 0.6408 0.7879 0.9320
Te 0.3417 0.5793 0.7119
Te 0.8592 0.0680 0.2121
Te 0.1583 0.2881 0.4207
Te 0.6108 0.1029 0.6029
Te 0.8892 0.3971 0.8971
Pa 0.0056 0.3305 0.1676
Pa 0.4944 0.8324 0.6695
Pa 0.5056 0.1676 0.3305
Pa 0.9944 0.6695 0.8324
Tl 0.2500 0.2668 0.7332
Tl 0.7500 0.7332 0.2668
Tl 0.2500 0.9026 0.0974
Tl 0.7500 0.0974 0.9026
CELL_PARAMETERS angstrom
7.7655 0.1001 0.0784
1.1116 10.4878 -0.2203
1.1116 2.2910 10.2369

---

No. 2
! PaTl2Te3 | Alexandria | PBE-GGA | relaxed; values from VASP
! Calculated density   7.01 g cm⁻³
! Offset from the most stable computed form   66 meV per atom
&SYSTEM
  ibrav = 0, nat = 6, ntyp = 3
/
ATOMIC_SPECIES
Te 127.60 Te.upf
Pa 231.04 Pa.upf
Tl 204.38 Tl.upf
ATOMIC_POSITIONS crystal
Te 0.5000 0.8735 0.7470
Te 0.5000 0.1265 0.2530
Te 0.0000 0.5000 0.0000
Pa 0.0000 0.0000 0.0000
Tl 0.5000 0.6502 0.3004
Tl 0.5000 0.3498 0.6996
CELL_PARAMETERS angstrom
4.4701 0.0000 0.0000
0.0000 6.5332 0.0000
0.0000 -3.2666 8.2942

---

No. 3
! PaTl3Te4 | Alexandria | PBE-GGA | relaxed; values from VASP
! Calculated density   6.60 g cm⁻³
! Offset from the most stable computed form   146 meV per atom
&SYSTEM
  ibrav = 0, nat = 16, ntyp = 3
/
ATOMIC_SPECIES
Tl 204.38 Tl.upf
Pa 231.04 Pa.upf
Te 127.60 Te.upf
ATOMIC_POSITIONS crystal
Tl 0.0644 0.6636 0.1946
Tl 0.0644 0.6636 0.8054
Tl 0.5644 0.3364 0.3054
Tl 0.0643 0.1169 0.5000
Tl 0.5643 0.8831 0.0000
Tl 0.5644 0.3364 0.6946
Pa 0.5645 0.7957 0.5000
Pa 0.0645 0.2043 0.0000
Te 0.5644 0.6527 0.7520
Te 0.0644 0.3473 0.7480
Te 0.5645 0.2017 0.0000
Te 0.0644 0.3473 0.2520
Te 0.5644 0.6527 0.2480
Te 0.0644 0.9395 0.0000
Te 0.0645 0.7983 0.5000
Te 0.5644 0.0605 0.5000
CELL_PARAMETERS angstrom
6.4402 0.0000 0.0000
0.0000 10.9105 0.0000
0.0000 0.0000 9.6998

---

No. 4
! PaTl4Te4 | Alexandria | PBE-GGA | relaxed; values from VASP
! Calculated density   6.31 g cm⁻³
&SYSTEM
  ibrav = 0, nat = 9, ntyp = 3
/
ATOMIC_SPECIES
Te 127.60 Te.upf
Tl 204.38 Tl.upf
Pa 231.04 Pa.upf
ATOMIC_POSITIONS crystal
Te 0.9506 0.3484 0.2990
Te 0.0494 0.0494 0.7010
Te 0.6516 0.6516 0.7010
Te 0.3484 0.9506 0.2990
Tl 0.0000 0.5000 0.0000
Tl 0.3437 0.3437 0.6873
Tl 0.5000 0.0000 0.0000
Tl 0.6563 0.6563 0.3127
Pa 0.0000 0.0000 0.0000
CELL_PARAMETERS angstrom
-7.9107 -2.0269 1.8768
0.2471 -6.1896 -5.6426
5.7499 0.4328 5.9986

---

No. 5
! PaTl3Te3 | Alexandria | PBE-GGA | relaxed; values from VASP
! Calculated density   7.56 g cm⁻³
&SYSTEM
  ibrav = 0, nat = 14, ntyp = 3
/
ATOMIC_SPECIES
Te 127.60 Te.upf
Tl 204.38 Tl.upf
Pa 231.04 Pa.upf
ATOMIC_POSITIONS crystal
Te 0.2500 0.9063 0.6123
Te 0.2500 0.3675 0.6296
Te 0.7500 0.0937 0.3877
Te 0.7500 0.6325 0.3704
Te 0.2500 0.8389 0.1294
Te 0.7500 0.1611 0.8706
Tl 0.2500 0.3580 0.3670
Tl 0.7500 0.1005 0.1321
Tl 0.7500 0.5838 0.1125
Tl 0.2500 0.8995 0.8679
Tl 0.2500 0.4162 0.8875
Tl 0.7500 0.6420 0.6330
Pa 0.7500 0.1381 0.6308
Pa 0.2500 0.8619 0.3692
CELL_PARAMETERS angstrom
-2.3668 -3.3900 -1.3802
4.3692 0.4692 -8.6446
8.0376 -8.1008 6.1144

---

No. 6
! PaTl2Te4 | Alexandria | PBE-GGA | relaxed; values from VASP
! Calculated density   6.38 g cm⁻³
! Offset from the most stable computed form   54 meV per atom
&SYSTEM
  ibrav = 0, nat = 7, ntyp = 3
/
ATOMIC_SPECIES
Te 127.60 Te.upf
Tl 204.38 Tl.upf
Pa 231.04 Pa.upf
ATOMIC_POSITIONS crystal
Te 0.0000 0.5000 0.0000
Te 0.5000 0.0000 0.0000
Te 0.1718 0.1718 0.3436
Te 0.8282 0.8282 0.6564
Tl 0.3709 0.3709 0.7419
Tl 0.6291 0.6291 0.2581
Pa 0.0000 0.0000 0.0000
CELL_PARAMETERS angstrom
5.9641 0.0000 0.0000
0.0000 5.9641 0.0000
-2.9820 -2.9820 8.4172

---

No. 7
! PaTl3Te4 | Alexandria | PBE-GGA | relaxed; values from VASP
! Calculated density   7.51 g cm⁻³
! Offset from the most stable computed form   0 meV per atom
&SYSTEM
  ibrav = 0, nat = 8, ntyp = 3
/
ATOMIC_SPECIES
Te 127.60 Te.upf
Pa 231.04 Pa.upf
Tl 204.38 Tl.upf
ATOMIC_POSITIONS crystal
Te 0.0000 0.7878 0.7878
Te 0.5000 0.7802 0.2198
Te 0.0000 0.2122 0.2122
Te 0.5000 0.2198 0.7802
Pa 0.5000 0.0000 0.0000
Tl 0.0000 0.5000 0.0000
Tl 0.5000 0.5000 0.5000
Tl 0.0000 0.0000 0.5000
CELL_PARAMETERS angstrom
4.5673 0.0000 0.0000
0.0000 7.8877 -2.5580
0.0000 0.0593 8.2919

---

No. 8
! Pa6TlTe8 | Alexandria | PBE-GGA | relaxed; values from VASP
! Calculated density   8.21 g cm⁻³
&SYSTEM
  ibrav = 0, nat = 15, ntyp = 3
/
ATOMIC_SPECIES
Te 127.60 Te.upf
Pa 231.04 Pa.upf
Tl 204.38 Tl.upf
ATOMIC_POSITIONS crystal
Te 0.6535 0.9185 0.2695
Te 0.7305 0.3465 0.0815
Te 0.9185 0.2695 0.6535
Te 0.0815 0.7305 0.3465
Te 0.3465 0.0815 0.7305
Te 0.2695 0.6535 0.9185
Te 0.2632 0.2632 0.2632
Te 0.7368 0.7368 0.7368
Pa 0.4664 0.5875 0.2382
Pa 0.2382 0.4664 0.5875
Pa 0.4125 0.7618 0.5336
Pa 0.5336 0.4125 0.7618
Pa 0.5875 0.2382 0.4664
Pa 0.7618 0.5336 0.4125
Tl 0.0000 0.0000 0.0000
CELL_PARAMETERS angstrom
8.0840 0.0428 0.0442
-0.2093 8.0815 0.0442
-0.2093 -0.2160 8.0787

---

Final energy in eV per atom, matching the order above: -4.91, -4.48, -4.05, -3.82, -4.17, -4.24, -4.20, -6.14